# 1
A relaxed LiCa3Cd crystal, computed with PBE-GGA.

Values from the calculation:
The formation enthalpy at 0 K is -0.1233 eV/atom. As for the crystal system: triclinic. The calculation puts the magnetic moment at 0.000 μB per atom. As for the total energy: -1.890 eV per atom.

```
LiCa3Cd
1.0
3.7893 -0.4556 -0.4025
-2.8909 8.9086 -0.3599
-0.9634 -0.9655 10.0516
Li Cd Ca
2 2 6
Direct
0.1149 0.4609 0.6282
0.9291 0.6932 0.7937
0.3051 0.8402 0.2502
0.7391 0.3139 0.1712
0.5467 0.9003 0.6144
0.4304 0.5719 0.0366
0.4971 0.2536 0.8071
0.8531 0.0016 0.0252
0.6137 0.5822 0.3849
0.1907 0.1525 0.3963
```

***

# 2
A relaxed Ce6GaBi crystal, computed with PBE-GGA.

Values from the calculation:
The formation enthalpy at 0 K is -0.1023 eV/atom. As for the crystal system: trigonal. The calculation puts the magnetic moment at 0.549 μB per atom. As for the total energy: -5.416 eV per atom.

```
Ce6GaBi
1.0
6.5509 0.1218 -0.6958
-2.3241 6.1260 -0.6958
-1.4528 -2.1475 6.0668
Ce Ga Bi
6 1 1
Direct
0.7889 0.3324 0.7885
0.3324 0.7889 0.7885
0.2111 0.6676 0.2115
0.2113 0.2113 0.6676
0.7887 0.7887 0.3324
0.6676 0.2111 0.2115
0.5000 0.5000 0.5000
0.0000 0.0000 0.0000
```

***

# 3
A relaxed MoAsRh4 crystal, computed with PBE-GGA.

Values from the calculation:
The formation enthalpy at 0 K is 0.3905 eV/atom. As for the crystal system: cubic. The calculation puts the magnetic moment at 0.000 μB per atom. As for the total energy: -7.091 eV per atom.

```
MoAsRh4
1.0
-0.3718 0.4950 5.0729
0.2601 4.6330 2.1412
-4.1776 2.0996 2.0631
Rh Mo As
4 1 1
Direct
0.3746 0.3746 0.3746
0.3746 0.8762 0.3746
0.3746 0.3746 0.8762
0.8762 0.3746 0.3746
0.0000 0.0000 0.0000
0.7500 0.7500 0.7500
```

***

# 4
A relaxed Mg2Ni3H8Pd crystal, computed with PBE-GGA.

Values from the calculation:
As for the crystal system: trigonal. The calculation puts the magnetic moment at 0.000 μB per atom. As for the total energy: -3.871 eV per atom.

```
Mg2Ni3H8Pd
1.0
-4.7342 -0.0076 2.3563
-0.9996 -3.4120 3.9146
-0.3920 1.9285 5.1526
Pd H Ni Mg
1 8 3 2
Direct
0.8583 0.8583 0.4252
0.7699 0.7699 0.1830
0.7699 0.2773 0.1830
0.6949 0.2432 0.8186
0.2777 0.2777 0.1669
0.2432 0.6949 0.8186
0.2432 0.2432 0.8186
0.2773 0.7699 0.1830
0.7281 0.7281 0.8158
0.4993 0.9977 0.0037
0.4993 0.4993 0.0037
0.9977 0.4993 0.0037
0.1330 0.1330 0.6009
0.5009 0.5009 0.4972
```

***

# 5
A relaxed Sr8TlN4 crystal, computed with PBE-GGA.

Values from the calculation:
For the formation energy without anion corrections, the calculation gives -0.495 eV per atom. As for the crystal system: tetragonal. The calculation puts the magnetic moment at 0.056 μB per atom. As for the total energy: -4.274 eV per atom.

```
Sr8TlN4
1.0
3.8493 0.0000 0.8045
1.9246 9.4834 0.4023
-0.0155 0.0000 9.6851
Sr N Tl
8 4 1
Direct
0.3326 0.6253 0.7096
0.0421 0.2904 0.6253
0.6941 0.9576 0.6542
0.3483 0.3458 0.9576
0.6674 0.3747 0.2904
0.3059 0.0424 0.3458
0.9579 0.7096 0.3747
0.6517 0.6542 0.0424
0.6668 0.1768 0.4897
0.8435 0.4897 0.8232
0.1565 0.5103 0.1768
0.3332 0.8232 0.5103
0.0000 0.0000 0.0000
```

***

# 6
A relaxed Bi3RuAu crystal, computed with PBE-GGA.

Values from the calculation:
The formation enthalpy at 0 K is 0.5075 eV/atom. As for the crystal system: cubic. The calculation puts the magnetic moment at 0.000 μB per atom. As for the total energy: -4.332 eV per atom.

```
Bi3RuAu
1.0
5.2538 0.0000 0.0000
0.0000 5.2538 0.0000
0.0000 0.0000 5.2538
Bi Ru Au
3 1 1
Direct
0.0000 0.5000 0.0000
0.5000 0.0000 0.0000
0.0000 0.0000 0.5000
0.0000 0.0000 0.0000
0.5000 0.5000 0.5000
```

***

# 7
A relaxed NdSbH crystal, computed with PBE-GGA.

Values from the calculation:
As for the crystal system: monoclinic. The calculation puts the magnetic moment at 0.000 μB per atom. As for the total energy: -4.752 eV per atom.

```
NdSbH
1.0
4.4390 0.0000 -0.2466
0.0000 4.1892 0.0000
-1.7442 -2.0946 7.4294
Sb Nd H
2 2 2
Direct
0.9379 0.9662 0.9325
0.7037 0.2265 0.4530
0.3574 0.3846 0.7692
0.1350 0.6548 0.3095
0.2860 0.8117 0.6234
0.9576 0.0877 0.1755
```

***

# 8
A relaxed Na3YU2Te6 crystal, computed with PBE-GGA.

Values from the calculation:
For the formation energy without anion corrections, the calculation gives -0.948 eV per atom. As for the crystal system: monoclinic. The calculation puts the magnetic moment at 0.501 μB per atom. As for the total energy: -5.269 eV per atom.

```
Na3YU2Te6
1.0
7.6609 -0.0011 0.0003
-3.8295 6.6351 0.0003
-1.2772 -2.2115 7.6118
Na Y Te U
3 1 6 2
Direct
0.5000 0.5000 0.5000
0.8331 0.1669 0.5000
0.1669 0.8331 0.5000
0.0000 0.0000 0.0000
0.7471 0.7471 0.2356
0.2529 0.2529 0.7644
0.5901 0.9214 0.7642
0.0786 0.4099 0.2358
0.4099 0.0786 0.2358
0.9214 0.5901 0.7642
0.6667 0.3333 0.0000
0.3333 0.6667 0.0000
```